A plane-wave DFT calculation with PBE was carried out for crystalline Rb2BaBCl at its relaxed geometry.

Calculated density: 1.44 g cm⁻³
Raw formation energy: 634 meV/atom
SG: P4/mmm
DOS at the Fermi energy: 1.059 states/eV/atom
M_tot: 2.00 Bohr magnetons per cell

a b c (Å): 8.406 5.774 8.406
angles (deg): 90.00 90.00 90.00
Atoms (fractional coordinates):
Cl1 0.000 0.500 0.000
Rb1 0.000 0.000 0.500
B1 0.500 0.500 0.500
Ba1 0.000 0.000 0.000
Rb2 0.500 0.000 0.000


A plane-wave DFT calculation with PBE was carried out for crystalline Y2BeHPt at its relaxed geometry.

Calculated density: 7.56 g cm⁻³
DFT total energy: -28.73 eV per cell
SG: P4/mmm
DOS at the Fermi energy: 0.489 states/eV/atom
M_tot: 0.00 Bohr magnetons per cell

a b c (Å): 4.862 4.862 3.558
angles (deg): 90.00 90.00 90.00
Atoms (fractional coordinates):
Y1 0.500 0.000 0.000
Y2 0.000 0.500 0.000
H1 0.000 0.000 0.000
Pt1 0.500 0.500 0.500
Be1 0.000 0.000 0.500


DOS at the Fermi energy of number 1 (Rb2BaBCl)?
1.059 states/eV/atom


What did the second record say?
A plane-wave DFT calculation with PBE was carried out for crystalline Y2BeHPt at its relaxed geometry.

Calculated density: 7.56 g cm⁻³
DFT total energy: -28.73 eV per cell
SG: P4/mmm
DOS at the Fermi energy: 0.489 states/eV/atom
M_tot: 0.00 Bohr magnetons per cell

a b c (Å): 4.862 4.862 3.558
angles (deg): 90.00 90.00 90.00
Atoms (fractional coordinates):
Y1 0.500 0.000 0.000
Y2 0.000 0.500 0.000
H1 0.000 0.000 0.000
Pt1 0.500 0.500 0.500
Be1 0.000 0.000 0.500


What is the M_tot in the first record?
2.00 Bohr magnetons per cell


Which of these has the highest DOS at the Fermi energy?
Rb2BaBCl